This record from the Alexandria database describes an optimized crystal structure of Ac3Ag5I12. The functional is PBE-GGA.

Cell: 18.3951 18.3951 18.3951 Å, 90.00 90.00 90.00°
Space group Ia-3d (No. 230)
Symmetry-distinct sites (fractional):
Ac 0.0000 0.2500 0.1250 [24 per cell]
Ag 0.0000 0.0000 0.0000 [16 per cell]
Ag 0.0000 0.2500 0.3750 [24 per cell]
I 0.0253 0.0648 0.6524 [96 per cell]

Calculated values
Energy relative to the elements, uncorrected ... -0.768 eV/atom

=====

This record from the Alexandria database describes an optimized crystal structure of PuMgZn2O6. The functional is PBE-GGA.

Cell: 5.3401 5.3401 14.6207 Å, 90.00 90.00 120.00°
Space group R-3 (No. 148, hexagonal axes)
Symmetry-distinct sites (fractional):
Pu 0.0000 0.0000 0.0000 [3 per cell]
Mg 0.0000 0.0000 0.5000 [3 per cell]
Zn 0.0000 0.0000 0.2133 [6 per cell]
O 0.0169 0.3687 0.7549 [18 per cell]

Calculated values
Energy relative to the elements, uncorrected ... -2.058 eV/atom